[1]
# Sr2Al6Cu3

A relaxed structure of Sr2Al6Cu3 (PBE, Alexandria via LeMat-Bulk).

a b c (Å): 4.1777 7.8396 7.8396
angles (deg): 120.00 90.00 90.00
Last column: nearest neighbours and their distance in Å.
Atoms (fractional coordinates):
Al 0.0000 0.1964 0.1964  2 Cu 2.46, 2 Al 2.67
Al 0.5000 0.7059 0.7059  3 Cu 2.61-2.70, 4 Al 2.92
Al 0.5000 0.2941 0.0000  3 Cu 2.61-2.70, 4 Al 2.92
Al 0.5000 0.0000 0.2941  3 Cu 2.61-2.70, 4 Al 2.92
Al 0.0000 0.0000 0.8036  2 Cu 2.46, 2 Al 2.67
Al 0.0000 0.8036 0.0000  2 Cu 2.46, 2 Al 2.67
Cu 0.5000 0.6381 0.0000  5 Al 2.46-2.70
Cu 0.5000 0.3619 0.3619  5 Al 2.46-2.70
Cu 0.5000 0.0000 0.6381  5 Al 2.46-2.70
Sr 0.0000 0.3333 0.6667  6 Cu 3.26, 9 Al 3.28-3.48
Sr 0.0000 0.6667 0.3333  6 Cu 3.26, 9 Al 3.28-3.48

Its crystal system is hexagonal. For the volume, the calculation gives 222 Å³ per cell. The value obtained for the energy is -40.6 eV/cell.

[2]
# SrAl3Cu

A relaxed structure of SrAl3Cu (PBE, Alexandria via LeMat-Bulk).

a b c (Å): 4.7817 4.7817 4.7817
angles (deg): 90.00 90.00 90.00
Last column: nearest neighbours and their distance in Å.
Atoms (fractional coordinates):
Al 0.0000 0.5000 0.0000  2 Cu 2.39
Al 0.0000 0.0000 0.5000  2 Cu 2.39
Al 0.5000 0.0000 0.0000  2 Cu 2.39
Cu 0.0000 0.0000 0.0000  6 Al 2.39
Sr 0.5000 0.5000 0.5000  12 Al 3.38

Its crystal system is cubic. For the volume, the calculation gives 109 Å³ per cell. The value obtained for the energy is -16.9 eV/cell.

[3]
# SrAl8Cu2

A relaxed structure of SrAl8Cu2 (PBE, Alexandria via LeMat-Bulk).

a b c (Å): 5.6200 5.6200 8.6105
angles (deg): 90.00 90.00 90.00
Last column: nearest neighbours and their distance in Å.
Atoms (fractional coordinates):
Al 0.2489 0.7511 0.1731  2 Cu 2.48
Al 0.7511 0.2489 0.8269  2 Cu 2.48
Al 0.7511 0.2489 0.1731  2 Cu 2.48
Al 0.2489 0.2489 0.1731  2 Cu 2.48
Al 0.2489 0.2489 0.8269  2 Cu 2.48
Al 0.2489 0.7511 0.8269  2 Cu 2.48
Al 0.7511 0.7511 0.1731  2 Cu 2.48
Al 0.7511 0.7511 0.8269  2 Cu 2.48
Cu 0.5000 0.0000 0.0000  8 Al 2.48
Cu 0.0000 0.5000 0.0000  8 Al 2.48
Sr 0.5000 0.5000 0.5000  8 Al 3.45

Its crystal system is tetragonal. For the volume, the calculation gives 272 Å³ per cell. The value obtained for the energy is -37.9 eV/cell.

[4]
# SrAl3Cu

A relaxed structure of SrAl3Cu (PBE, Alexandria via LeMat-Bulk).

a b c (Å): 5.5554 6.4937 6.4947
angles (deg): 120.00 90.00 90.00
Last column: nearest neighbours and their distance in Å.
Atoms (fractional coordinates):
Al 0.7500 0.1849 0.3697  2 Cu 2.50
Al 0.2500 0.3697 0.1849  2 Cu 2.50
Al 0.7501 0.1849 0.8152  2 Cu 2.50
Al 0.7500 0.6303 0.8151  2 Cu 2.50
Al 0.2500 0.8151 0.6303  2 Cu 2.50
Al 0.2499 0.8151 0.1848  2 Cu 2.50
Sr 0.2500 0.3332 0.6666  12 Al 3.24-3.25
Sr 0.7500 0.6668 0.3334  12 Al 3.24-3.25
Cu 0.5000 0.0000 0.0000  6 Al 2.50, 2 Cu 2.78
Cu 0.0000 0.0000 0.0000  6 Al 2.50, 2 Cu 2.78

Its crystal system is hexagonal. For the volume, the calculation gives 203 Å³ per cell. The value obtained for the energy is -35.1 eV/cell.

[5]
# Sr2AlCu

A relaxed structure of Sr2AlCu (PBE, Alexandria via LeMat-Bulk).

a b c (Å): 3.5985 3.5984 9.0846
angles (deg): 90.00 90.00 89.92
Last column: nearest neighbours and their distance in Å.
Atoms (fractional coordinates):
Sr 0.0000 0.0000 0.9248  1 Al 3.19, 4 Cu 3.38
Sr 0.5000 0.5000 0.3224  1 Cu 3.24, 4 Al 3.41-3.42, 4 Sr 3.60
Al 0.0000 0.0000 0.5733  4 Cu 2.72
Cu 0.5000 0.5000 0.6795  4 Al 2.72

Its crystal system is tetragonal. For the volume, the calculation gives 118 Å³ per cell. The value obtained for the energy is -11.1 eV/cell.

[6]
# Sr2AlCu

A relaxed structure of Sr2AlCu (PBE, Alexandria via LeMat-Bulk).

a b c (Å): 6.3420 6.3420 6.3420
angles (deg): 144.12 129.21 63.75
Last column: nearest neighbours and their distance in Å.
Atoms (fractional coordinates):
Al 0.4399 0.4399 0.0000  2 Cu 2.46
Sr 0.0302 0.0302 0.0000  4 Sr 3.47-3.78, 4 Al 3.49, 4 Cu 3.51-3.68
Sr 0.7296 0.2296 0.5000  4 Cu 3.43, 4 Sr 3.47-3.78, 4 Al 3.54-3.68
Cu 0.3004 0.8004 0.5000  2 Al 2.46

Its crystal system is orthorhombic. For the volume, the calculation gives 114 Å³ per cell. The value obtained for the energy is -11.4 eV/cell.

[7]
# SrAlCu2

A relaxed structure of SrAlCu2 (PBE, Alexandria via LeMat-Bulk).

a b c (Å): 4.0488 3.6545 6.0368
angles (deg): 72.61 90.00 90.00
Last column: nearest neighbours and their distance in Å.
Atoms (fractional coordinates):
Sr 0.0000 0.4617 0.4534  5 Cu 2.95-3.12
Cu 0.5000 0.0926 0.1896  2 Cu 2.40, 2 Al 2.50-2.51
Cu 0.0000 0.2056 0.9647  2 Cu 2.40
Al 0.5000 0.7401 0.8923  6 Cu 2.50-2.76

Its crystal system is monoclinic. For the volume, the calculation gives 85 Å³ per cell. The value obtained for the energy is -13.6 eV/cell.

[8]
# SrAlCu

A relaxed structure of SrAlCu (PBE, Alexandria via LeMat-Bulk).

a b c (Å): 4.3657 4.3657 4.5676
angles (deg): 90.00 90.00 120.00
Last column: nearest neighbours and their distance in Å.
Atoms (fractional coordinates):
Al 0.0000 0.0000 0.1666  3 Cu 2.52
Cu 0.6667 0.3333 0.1667  3 Al 2.52
Sr 0.3333 0.6667 0.6667  6 Cu 3.40, 6 Al 3.40

Its crystal system is hexagonal. For the volume, the calculation gives 75 Å³ per cell. The value obtained for the energy is -10.0 eV/cell.